Compound: LiMoP2O8
Source: the Alexandria database
Functional: GGA-PBEsol
Structure: optimized geometry

Geometry as POSCAR:
```
LiMoP2O8
1.0
-2.703 1.950 3.300
3.757 -3.080 1.564
7.737 11.192 -0.277
O P Mo Li
16 4 2 2
Direct
0.477 0.697 0.717
0.264 0.132 0.881
0.736 0.868 0.119
0.780 0.303 0.783
0.568 0.794 0.537
0.132 0.868 0.619
0.523 0.303 0.283
0.932 0.644 0.419
0.711 0.644 0.919
0.868 0.132 0.381
0.289 0.356 0.081
0.432 0.206 0.463
0.226 0.794 0.037
0.220 0.697 0.217
0.068 0.356 0.581
0.774 0.206 0.963
0.639 0.323 0.880
0.361 0.677 0.120
0.684 0.323 0.380
0.316 0.677 0.620
0.000 0.000 0.500
0.000 0.000 0.000
0.917 0.000 0.750
0.083 0.000 0.250
```

## Properties
energy relative to the elements, uncorrected: -2.091 eV/atom
size of the total moment: 1.00 μB/f.u.
crystal system: monoclinic
excess energy over the best structure of this formula in the dataset: 0.58 eV per formula unit
space-group type: C2/c, No. 15

Compound: Li3MoP2O8
Source: the Alexandria database
Functional: GGA-PBEsol
Structure: optimized geometry

Geometry as POSCAR:
```
Li3MoP2O8
1.0
4.915 0.003 0.000
-0.435 6.332 0.000
0.000 0.000 8.959
O Li Mo P
16 6 2 4
Direct
0.078 0.243 0.645
0.789 0.302 0.347
0.153 0.013 0.866
0.289 0.802 0.153
0.847 0.592 0.098
0.153 0.408 0.902
0.347 0.092 0.402
0.711 0.198 0.847
0.347 0.487 0.366
0.922 0.757 0.355
0.847 0.987 0.134
0.211 0.698 0.653
0.578 0.743 0.855
0.653 0.908 0.598
0.422 0.257 0.145
0.653 0.513 0.634
0.000 0.000 0.500
0.492 0.808 0.362
0.508 0.192 0.638
0.992 0.308 0.138
0.008 0.692 0.862
0.500 0.500 0.000
0.500 0.000 0.000
0.000 0.500 0.500
0.476 0.280 0.317
0.024 0.220 0.817
0.524 0.720 0.683
0.976 0.780 0.183
```

## Properties
energy relative to the elements, uncorrected: -2.163 eV/atom
size of the total moment: 3.00 μB/f.u.
crystal system: monoclinic
excess energy over the best structure of this formula in the dataset: 0.04 eV per formula unit
space-group type: P2_1/c, No. 14

Compound: LiMo2P3O12
Source: the Alexandria database
Functional: GGA-PBEsol
Structure: optimized geometry

Geometry as POSCAR:
```
LiMo2P3O12
1.0
8.631 0.000 -0.007
0.000 8.770 0.000
-0.146 0.000 12.150
O P Li Mo
48 12 4 8
Direct
0.163 0.018 0.228
0.618 0.861 0.071
0.181 0.939 0.034
0.128 0.788 0.832
0.945 0.863 0.564
0.690 0.986 0.271
0.319 0.439 0.466
0.337 0.518 0.272
0.573 0.091 0.663
0.068 0.107 0.863
0.153 0.572 0.970
0.660 0.669 0.924
0.427 0.909 0.337
0.872 0.212 0.168
0.819 0.061 0.966
0.372 0.288 0.668
0.837 0.982 0.772
0.847 0.428 0.030
0.829 0.262 0.819
0.382 0.139 0.929
0.190 0.514 0.771
0.118 0.639 0.571
0.072 0.333 0.590
0.171 0.738 0.181
0.055 0.137 0.436
0.932 0.893 0.137
0.555 0.363 0.936
0.445 0.637 0.064
0.653 0.928 0.470
0.572 0.167 0.090
0.432 0.607 0.637
0.329 0.238 0.319
0.073 0.409 0.163
0.340 0.331 0.076
0.681 0.561 0.534
0.928 0.667 0.410
0.347 0.072 0.530
0.927 0.591 0.837
0.810 0.486 0.229
0.310 0.014 0.729
0.160 0.831 0.424
0.882 0.361 0.429
0.663 0.482 0.728
0.671 0.762 0.681
0.840 0.169 0.576
0.568 0.393 0.363
0.428 0.833 0.910
0.628 0.712 0.332
0.396 0.116 0.647
0.609 0.605 0.644
0.965 0.250 0.507
0.891 0.105 0.856
0.896 0.384 0.147
0.465 0.250 0.007
0.391 0.395 0.356
0.604 0.884 0.353
0.535 0.750 0.993
0.035 0.750 0.493
0.109 0.895 0.144
0.104 0.616 0.853
0.205 0.224 0.180
0.795 0.776 0.820
0.295 0.724 0.320
0.705 0.276 0.680
0.753 0.960 0.614
0.253 0.540 0.114
0.751 0.531 0.381
0.247 0.040 0.386
0.249 0.469 0.619
0.251 0.969 0.881
0.747 0.460 0.886
0.749 0.031 0.119
```

## Properties
energy relative to the elements, uncorrected: -2.086 eV/atom
size of the total moment: 4.00 μB/f.u.
crystal system: monoclinic
excess energy over the best structure of this formula in the dataset: 0.00 eV per formula unit
space-group type: P2_1/c, No. 14

Compound: Li4MoP2O9
Source: the Alexandria database
Functional: GGA-PBEsol
Structure: optimized geometry

Geometry as POSCAR:
```
Li4MoP2O9
1.0
-5.479 -4.302 0.501
5.140 -1.566 -5.918
3.633 -4.121 4.346
O Li P Mo
18 8 4 2
Direct
0.808 0.248 0.121
0.005 0.638 0.251
0.765 0.529 0.900
0.192 0.752 0.879
0.560 0.752 0.879
0.036 0.071 0.820
0.440 0.248 0.121
0.494 0.988 0.252
0.506 0.012 0.748
0.995 0.362 0.749
0.343 0.686 0.571
0.633 0.638 0.251
0.657 0.314 0.429
0.367 0.362 0.749
0.882 0.765 0.518
0.118 0.235 0.482
0.235 0.471 0.100
0.964 0.929 0.180
0.097 0.194 0.231
0.373 0.747 0.310
0.764 0.000 0.000
0.500 0.500 0.500
0.903 0.806 0.769
0.000 0.500 0.500
0.627 0.253 0.690
0.236 0.000 0.000
0.123 0.247 0.697
0.877 0.753 0.303
0.401 0.802 0.756
0.599 0.198 0.244
0.500 0.500 0.000
0.000 0.500 0.000
```

## Properties
energy relative to the elements, uncorrected: -2.220 eV/atom
size of the total moment: 2.01 μB/f.u.
crystal system: monoclinic
space-group type: C2/m, No. 12